# PBE Be2AgOs, optimized geometry
# theoretical density	10.2	g/cm3
# energy of formation from the pure elements	0.265	eV/atom
# D(E_F)	4.31	states/eV per cell
# relative energy among the computed polymorphs	310	meV per atom
data_Be2AgOs
_cell_length_a 7.690
_cell_length_b 2.796
_cell_length_c 4.911
_cell_angle_alpha 90.00
_cell_angle_beta 102.70
_cell_angle_gamma 90.00
_symmetry_space_group_name_H-M 'C 1 2/m 1'
_symmetry_Int_Tables_number 12
loop_
_symmetry_equiv_pos_as_xyz
'x,y,z'
'-x,-y,-z'
'-x,y,-z'
'x,-y,z'
'x+1/2,y+1/2,z'
'-x+1/2,-y+1/2,-z'
'-x+1/2,y+1/2,-z'
'x+1/2,-y+1/2,z'
loop_
_atom_site_label
_atom_site_type_symbol
_atom_site_fract_x
_atom_site_fract_y
_atom_site_fract_z
Be1 Be 0.241 0.000 0.184
Ag1 Ag 0.000 0.000 0.500
Os1 Os 0.000 0.500 0.000

---

# PBE Be4AgOs, optimized geometry
# theoretical density	8.9	g/cm3
# energy of formation from the pure elements	0.032	eV/atom
# D(E_F)	8.28	states/eV per cell
data_Be4AgOs
_cell_length_a 6.287
_cell_length_b 6.287
_cell_length_c 6.287
_cell_angle_alpha 90.00
_cell_angle_beta 90.00
_cell_angle_gamma 90.00
_symmetry_space_group_name_H-M 'F -4 3 m'
_symmetry_Int_Tables_number 216
_symmetry_space_group_name_Hall 'F -4 2 3'
loop_
_atom_site_label
_atom_site_type_symbol
_atom_site_fract_x
_atom_site_fract_y
_atom_site_fract_z
Be1 Be 0.123 0.123 0.123
Ag1 Ag 0.000 0.000 0.500
Os1 Os 0.250 0.250 0.750

---

# PBE BeAg3Os, optimized geometry
# theoretical density	6.6	g/cm3
# energy of formation from the pure elements	1.933	eV/atom
# D(E_F)	3.81	states/eV per cell
# relative energy among the computed polymorphs	853	meV per atom
data_BeAg3Os
_cell_length_a 5.092
_cell_length_b 5.092
_cell_length_c 5.092
_cell_angle_alpha 90.00
_cell_angle_beta 90.00
_cell_angle_gamma 90.00
_symmetry_space_group_name_H-M 'P m -3 m'
_symmetry_Int_Tables_number 221
_symmetry_space_group_name_Hall '-P 4 2 3'
loop_
_atom_site_label
_atom_site_type_symbol
_atom_site_fract_x
_atom_site_fract_y
_atom_site_fract_z
Be1 Be 0.000 0.000 0.000
Ag1 Ag 0.000 0.500 0.500
Os1 Os 0.500 0.500 0.500

---

# PBE BeAg2Os, optimized geometry
# theoretical density	11.4	g/cm3
# energy of formation from the pure elements	0.571	eV/atom
# D(E_F)	3.01	states/eV per cell
data_BeAg2Os
_cell_length_a 5.263
_cell_length_b 9.659
_cell_length_c 2.657
_cell_angle_alpha 90.00
_cell_angle_beta 116.74
_cell_angle_gamma 90.00
_symmetry_space_group_name_H-M 'C 1 2/m 1'
_symmetry_Int_Tables_number 12
loop_
_symmetry_equiv_pos_as_xyz
'x,y,z'
'-x,-y,-z'
'-x,y,-z'
'x,-y,z'
'x+1/2,y+1/2,z'
'-x+1/2,-y+1/2,-z'
'-x+1/2,y+1/2,-z'
'x+1/2,-y+1/2,z'
loop_
_atom_site_label
_atom_site_type_symbol
_atom_site_fract_x
_atom_site_fract_y
_atom_site_fract_z
Be1 Be 0.000 0.000 0.000
Ag1 Ag 0.250 0.250 0.500
Os1 Os 0.000 0.500 0.000

---

Please write out number 3 again, unchanged.
# PBE BeAg3Os, optimized geometry
# theoretical density	6.6	g/cm3
# energy of formation from the pure elements	1.933	eV/atom
# D(E_F)	3.81	states/eV per cell
# relative energy among the computed polymorphs	853	meV per atom
data_BeAg3Os
_cell_length_a 5.092
_cell_length_b 5.092
_cell_length_c 5.092
_cell_angle_alpha 90.00
_cell_angle_beta 90.00
_cell_angle_gamma 90.00
_symmetry_space_group_name_H-M 'P m -3 m'
_symmetry_Int_Tables_number 221
_symmetry_space_group_name_Hall '-P 4 2 3'
loop_
_atom_site_label
_atom_site_type_symbol
_atom_site_fract_x
_atom_site_fract_y
_atom_site_fract_z
Be1 Be 0.000 0.000 0.000
Ag1 Ag 0.000 0.500 0.500
Os1 Os 0.500 0.500 0.500

---

Question: What is the formula in the first record?
Answer: Be2AgOs